# 1
LaPr6Ho3: relaxed, PBE.

Cell and atoms, written as extended XYZ:
```
20
Lattice="5.641 0.000 0.000 0.000 10.308 0.000 -2.621 0.000 12.412" Properties=species:S:1:pos:R:3 pbc="T T T"
La 0.000 0.000 0.000
La -1.310 5.154 6.206
Pr -1.291 1.851 6.225
Pr 0.019 3.303 0.019
Pr -0.059 0.018 3.329
Pr -1.369 5.136 9.535
Pr 0.115 1.788 10.591
Pr 1.426 3.366 4.385
Pr 1.594 6.942 8.027
Pr 2.905 8.520 1.821
Pr 4.389 5.172 2.877
Pr 3.078 10.290 9.083
Pr 3.001 7.005 12.393
Pr 4.311 8.457 6.187
Ho 1.392 6.922 4.529
Ho 0.082 8.540 10.735
Ho 1.510 0.000 6.206
Ho 2.820 5.154 0.000
Ho 2.938 1.768 1.677
Ho 1.628 3.386 7.883
```

The calculation puts the offset from the most stable computed form at 0.0963 eV per atom. The value obtained for the formation enthalpy at 0 K is 216 meV per atom.

# 2
LaPr2Ho8: relaxed, PBE.

Cell and atoms, written as extended XYZ:
```
11
Lattice="9.563 -3.526 0.000 9.563 3.526 0.000 -0.270 0.000 5.555" Properties=species:S:1:pos:R:3 pbc="T T T"
La 0.000 0.000 0.000
Pr 5.246 0.000 4.169
Pr 13.610 0.000 1.385
Ho 6.976 1.639 1.485
Ho 3.500 0.000 1.304
Ho 11.880 1.639 4.070
Ho 8.485 0.000 4.226
Ho 10.371 0.000 1.329
Ho 6.976 -1.639 1.485
Ho 15.356 0.000 4.251
Ho 11.880 -1.639 4.070
```

The calculation puts the offset from the most stable computed form at 0.0000 eV per atom. The value obtained for the formation enthalpy at 0 K is 149 meV per atom.

# 3
La5Pr4Ho4: relaxed, PBE.

Cell and atoms, written as extended XYZ:
```
13
Lattice="8.450 -2.966 0.000 8.450 2.966 0.000 -4.549 0.000 9.133" Properties=species:S:1:pos:R:3 pbc="T T T"
La 0.000 0.000 0.000
La 1.680 0.000 7.017
La 7.197 0.000 1.741
La 5.155 0.000 7.392
La 10.672 0.000 2.116
Pr -1.699 0.000 6.508
Pr 4.063 0.000 4.110
Pr 8.289 0.000 5.023
Pr 14.051 0.000 2.625
Ho 0.618 0.000 3.449
Ho 3.806 0.000 0.772
Ho 8.546 0.000 8.360
Ho 11.734 0.000 5.684
```

The value obtained for the formation enthalpy at 0 K is 98 meV per atom.

Which formula does entry 2 have? LaPr2Ho8